# 1
A crystal of Sc3InCo relaxed with PBEsol. Source: the Alexandria database, functional meta-GGA SCAN.

```
data_Sc3InCo
_chemical_formula_sum 'Sc3 In1 Co1'
_symmetry_space_group_name_H-M 'P 1'
_symmetry_Int_Tables_number 1
_cell_length_a 4.7524
_cell_length_b 4.7524
_cell_length_c 4.7524
_cell_angle_alpha 90.00
_cell_angle_beta 90.00
_cell_angle_gamma 90.00
loop_
_symmetry_equiv_pos_as_xyz
'x,y,z'
loop_
_atom_site_label
_atom_site_fract_x
_atom_site_fract_y
_atom_site_fract_z
Sc1 0.0000 0.5000 0.0000
Sc2 0.0000 0.0000 0.5000
Sc3 0.5000 0.0000 0.0000
Co1 0.0000 0.0000 0.0000
In1 0.5000 0.5000 0.5000
```

Energy of formation   -0.23 eV/atom

=====

# 2
A crystal of ScIn2Co relaxed with PBEsol. Source: the Alexandria database, functional meta-GGA SCAN.

```
data_ScIn2Co
_chemical_formula_sum 'Sc1 In2 Co1'
_symmetry_space_group_name_H-M 'P 1'
_symmetry_Int_Tables_number 1
_cell_length_a 3.2602
_cell_length_b 4.8706
_cell_length_c 5.5233
_cell_angle_alpha 116.16
_cell_angle_beta 107.17
_cell_angle_gamma 90.00
loop_
_symmetry_equiv_pos_as_xyz
'x,y,z'
loop_
_atom_site_label
_atom_site_fract_x
_atom_site_fract_y
_atom_site_fract_z
Co1 0.0000 0.5000 0.0000
In1 0.7179 0.7179 0.4357
In2 0.2821 0.2821 0.5643
Sc1 0.5000 0.0000 0.0000
```

Energy of formation   -0.08 eV/atom

=====

# 3
A crystal of ScInCo2 relaxed with PBEsol. Source: the Alexandria database, functional meta-GGA SCAN.

```
data_ScInCo2
_chemical_formula_sum 'Sc1 In1 Co2'
_symmetry_space_group_name_H-M 'P 1'
_symmetry_Int_Tables_number 1
_cell_length_a 3.0515
_cell_length_b 4.3059
_cell_length_c 5.0421
_cell_angle_alpha 109.51
_cell_angle_beta 107.61
_cell_angle_gamma 90.00
loop_
_symmetry_equiv_pos_as_xyz
'x,y,z'
loop_
_atom_site_label
_atom_site_fract_x
_atom_site_fract_y
_atom_site_fract_z
Co1 0.0248 0.9896 0.0496
Co2 0.7337 0.2710 0.4674
In1 0.4814 0.4549 0.9628
Sc1 0.2601 0.7845 0.5202
```

Energy of formation   -0.10 eV/atom

=====

# 4
A crystal of ScIn2Co relaxed with PBEsol. Source: the Alexandria database, functional meta-GGA SCAN.

```
data_ScIn2Co
_chemical_formula_sum 'Sc1 In2 Co1'
_symmetry_space_group_name_H-M 'P 1'
_symmetry_Int_Tables_number 1
_cell_length_a 3.0268
_cell_length_b 4.3984
_cell_length_c 6.3498
_cell_angle_alpha 110.26
_cell_angle_beta 103.79
_cell_angle_gamma 90.00
loop_
_symmetry_equiv_pos_as_xyz
'x,y,z'
loop_
_atom_site_label
_atom_site_fract_x
_atom_site_fract_y
_atom_site_fract_z
Co1 0.2396 0.2396 0.4791
In1 0.9382 0.4382 0.8764
In2 0.7574 0.7574 0.5149
Sc1 0.5648 0.0648 0.1295
```

Energy of formation   -0.08 eV/atom